## VAgF2 (GGA+U)

Data for crystalline VAgF2 at its relaxed geometry.

## Properties
As for the symmetry: Fm-3m, No. 225. The calculation puts the magnetic moment at 3.451 μB/f.u. The total DFT energy (no corrections) comes out at -17.12 eV per formula unit.

Lattice parameters (Å, degrees): 4.280 4.280 4.280 60.00 60.00 60.00
Last column: magnetic moment on the atom in μB.
Fractional coordinates of all 4 atoms:
V 0.000 0.000 0.000  2.97
F 0.750 0.750 0.750  0.00
Ag 0.500 0.500 0.500  0.06
F 0.250 0.250 0.250  0.00